VASP calculation (GGA-PBE) on a relaxed structure of HoCdAgGe.

Lattice parameters (Å, degrees): 6.9718 6.9718 6.9718 90.00 90.00 90.00
Atoms (fractional coordinates):
Ho: 0.0000 0.0000 0.0000
Ho: 0.0000 0.5000 0.5000
Ho: 0.5000 0.0000 0.5000
Ho: 0.5000 0.5000 0.0000
Cd: 0.0000 0.0000 0.5000
Cd: 0.0000 0.5000 0.0000
Cd: 0.5000 0.0000 0.0000
Cd: 0.5000 0.5000 0.5000
Ag: 0.2500 0.2500 0.2500
Ag: 0.2500 0.7500 0.7500
Ag: 0.7500 0.2500 0.7500
Ag: 0.7500 0.7500 0.2500
Ge: 0.2500 0.2500 0.7500
Ge: 0.2500 0.7500 0.2500
Ge: 0.7500 0.2500 0.2500
Ge: 0.7500 0.7500 0.7500

Properties
- Formation energy: -1.194 eV per formula unit
- V: 339 Å³/cell

=====

VASP calculation (GGA-PBE) on a relaxed structure of La2PmDyHo2.

Lattice parameters (Å, degrees): 5.7320 9.9562 7.0848 90.00 90.00 90.00
Atoms (fractional coordinates):
La: 0.0000 0.0004 0.0000
La: 0.0000 0.9996 0.5000
La: 0.5000 0.1706 0.2501
La: 0.5000 0.8294 0.7501
Pm: 0.5000 0.4998 0.9998
Pm: 0.5000 0.5002 0.4998
Dy: 0.0000 0.3369 0.7498
Dy: 0.0000 0.6631 0.2498
Ho: 0.0000 0.3348 0.2501
Ho: 0.0000 0.6652 0.7501
Ho: 0.5000 0.1672 0.7497
Ho: 0.5000 0.8328 0.2497

Properties
- Formation energy: 0.427 eV per formula unit
- V: 404 Å³/cell

=====

VASP calculation (GGA-PBE) on a relaxed structure of Er2TmCo.

Lattice parameters (Å, degrees): 6.8912 9.2541 6.1639 90.00 90.00 90.00
Atoms (fractional coordinates):
Er: 0.1760 0.0670 0.1773
Er: 0.1760 0.4330 0.1773
Er: 0.3240 0.5670 0.6773
Er: 0.3240 0.9330 0.6773
Er: 0.6760 0.0670 0.3227
Er: 0.6760 0.4330 0.3227
Er: 0.8240 0.5670 0.8227
Er: 0.8240 0.9330 0.8227
Tm: 0.0422 0.2500 0.6399
Tm: 0.4578 0.7500 0.1399
Tm: 0.5422 0.2500 0.8601
Tm: 0.9578 0.7500 0.3601
Co: 0.1122 0.7500 0.9561
Co: 0.3878 0.2500 0.4561
Co: 0.6122 0.7500 0.5439
Co: 0.8878 0.2500 0.0439

Properties
- Polymorph energy (0 for the lowest one): 0.00 kcal/mol of atoms
- Formation energy: -0.764 eV per formula unit
- V: 393 Å³/cell

=====

VASP calculation (GGA-PBE) on a relaxed structure of NiIrPt2.

Lattice parameters (Å, degrees): 2.7046 4.7203 9.1995 90.00 90.00 90.00
Atoms (fractional coordinates):
Ni: 0.0000 0.0000 0.0000
Ni: 0.5000 0.5000 0.0000
Ir: 0.0000 0.0000 0.5000
Ir: 0.5000 0.5000 0.5000
Pt: 0.0000 0.5000 0.2390
Pt: 0.0000 0.5000 0.7610
Pt: 0.5000 0.0000 0.2390
Pt: 0.5000 0.0000 0.7610

Properties
- Polymorph energy (0 for the lowest one): 3.96 kcal/mol of atoms
- Formation energy: 0.590 eV per formula unit
- V: 117 Å³/cell

=====

VASP calculation (GGA-PBE) on a relaxed structure of PmMnNi3.

Lattice parameters (Å, degrees): 5.8458 5.8458 5.3899 90.00 90.00 120.00
Atoms (fractional coordinates):
Pm: 0.3333 0.6667 0.2511
Pm: 0.6667 0.3333 0.7489
Mn: 0.0000 0.0000 0.0000
Mn: 0.0000 0.0000 0.5000
Ni: 0.1973 0.3945 0.7509
Ni: 0.1973 0.8027 0.7509
Ni: 0.3945 0.1973 0.2491
Ni: 0.6055 0.8027 0.7509
Ni: 0.8027 0.1973 0.2491
Ni: 0.8027 0.6055 0.2491

Properties
- Formation energy: -0.393 eV per formula unit
- V: 160 Å³/cell

=====

VASP calculation (GGA-PBE) on a relaxed structure of LiSbPS2.

Lattice parameters (Å, degrees): 5.1183 5.1183 5.1301 90.00 90.00 90.00
Atoms (fractional coordinates):
Li: 0.0000 0.0000 0.0000
Sb: 0.5000 0.5000 0.5000
P: 0.5000 0.5000 0.0000
S: 0.0000 0.5000 0.5000
S: 0.5000 0.0000 0.5000

Properties
- Polymorph energy (0 for the lowest one): 0.00 kcal/mol of atoms
- V: 134 Å³/cell

=====

VASP calculation (GGA-PBE) on a relaxed structure of ZrAg2Se3.

Lattice parameters (Å, degrees): 6.7955 6.9353 6.9816 60.74 84.52 77.57
Atoms (fractional coordinates):
Zr: 0.0000 0.0000 0.0000
Zr: 0.0284 0.3104 0.3534
Ag: 0.4299 0.2072 0.6505
Ag: 0.4564 0.4771 0.1401
Ag: 0.4988 0.8891 0.1583
Ag: 0.6419 0.7433 0.6441
Se: 0.1862 0.6261 0.3652
Se: 0.2223 0.2702 0.0108
Se: 0.2221 0.9227 0.6747
Se: 0.7551 0.0930 0.2865
Se: 0.7600 0.3393 0.6612
Se: 0.7996 0.6873 0.0119

Properties
- Raw total energy: -4.76 eV/atom
- V: 280 Å³/cell

=====

VASP calculation (GGA-PBE) on a relaxed structure of SrFeHg2.

Lattice parameters (Å, degrees): 4.6010 4.6010 17.1955 90.00 90.00 120.00
Atoms (fractional coordinates):
Sr: 0.0000 0.0000 0.0000
Sr: 0.3333 0.6667 0.6667
Sr: 0.6667 0.3333 0.3333
Fe: 0.0000 0.0000 0.5000
Fe: 0.3333 0.6667 0.1667
Fe: 0.6667 0.3333 0.8333
Hg: 0.0000 0.0000 0.2123
Hg: 0.0000 0.0000 0.7877
Hg: 0.3333 0.6667 0.4544
Hg: 0.3333 0.6667 0.8789
Hg: 0.6667 0.3333 0.1211
Hg: 0.6667 0.3333 0.5456

Properties
- Formation energy: 0.214 eV per formula unit
- V: 315 Å³/cell

=====

VASP calculation (GGA-PBE) on a relaxed structure of La5Nd6Sc.

Lattice parameters (Å, degrees): 6.3489 6.3489 12.1875 95.04 95.04 119.93
Atoms (fractional coordinates):
La: 0.0000 0.0000 0.0000
La: 0.1672 0.8328 0.5000
La: 0.3335 0.6665 0.0000
La: 0.6665 0.3335 0.0000
La: 0.8328 0.1672 0.5000
Nd: 0.0902 0.4187 0.2537
Nd: 0.2522 0.2522 0.7465
Nd: 0.4187 0.0902 0.2537
Nd: 0.5813 0.9098 0.7463
Nd: 0.7478 0.7478 0.2535
Nd: 0.9098 0.5813 0.7463
Sc: 0.5000 0.5000 0.5000

Properties
- Formation energy: 0.336 eV per formula unit
- V: 419 Å³/cell

=====

VASP calculation (GGA-PBE) on a relaxed structure of Ho2Si3Ni4Rh.

Lattice parameters (Å, degrees): 3.9008 3.9008 9.9487 90.00 90.00 90.00
Atoms (fractional coordinates):
Ho: 0.0000 0.5000 0.2476
Ho: 0.5000 0.0000 0.7524
Si: 0.0000 0.5000 0.8756
Si: 0.5000 0.0000 0.1244
Si: 0.5000 0.5000 0.5000
Ni: 0.0000 0.0000 0.0000
Ni: 0.0000 0.5000 0.6476
Ni: 0.5000 0.0000 0.3524
Ni: 0.5000 0.5000 0.0000
Rh: 0.0000 0.0000 0.5000

Properties
- Raw total energy: -6.32 eV/atom
- V: 151 Å³/cell

=====

VASP calculation (GGA-PBE) on a relaxed structure of Tl2Sn.

Lattice parameters (Å, degrees): 3.5827 3.5827 14.0390 90.00 90.00 90.00
Atoms (fractional coordinates):
Tl: 0.0000 0.0000 0.1610
Tl: 0.0000 0.0000 0.8390
Tl: 0.5000 0.5000 0.3390
Tl: 0.5000 0.5000 0.6610
Sn: 0.0000 0.0000 0.5000
Sn: 0.5000 0.5000 0.0000

Properties
- Polymorph energy (0 for the lowest one): 0.00 kcal/mol of atoms
- Formation energy: 0.075 eV per formula unit
- V: 180 Å³/cell

=====

VASP calculation (GGA-PBE) on a relaxed structure of CsCI2O.

Lattice parameters (Å, degrees): 7.0718 7.0718 3.2098 90.00 90.00 90.00
Atoms (fractional coordinates):
Cs: 0.0000 0.0000 0.0000
C: 0.5000 0.5000 0.5000
I: 0.0000 0.5000 0.5000
I: 0.5000 0.0000 0.5000
O: 0.5000 0.5000 0.0000

Properties
- Polymorph energy (0 for the lowest one): 0.00 kcal/mol of atoms
- V: 161 Å³/cell

=====

VASP calculation (GGA-PBE) on a relaxed structure of KFe2Rh.

Lattice parameters (Å, degrees): 7.4824 7.4824 5.9214 90.00 90.00 90.00
Atoms (fractional coordinates):
K: 0.0000 0.0000 0.0000
K: 0.0000 0.5000 0.2500
K: 0.5000 0.0000 0.7500
K: 0.5000 0.5000 0.5000
Fe: 0.1829 0.2500 0.6250
Fe: 0.2500 0.6829 0.8750
Fe: 0.2500 0.8171 0.3750
Fe: 0.3171 0.2500 0.1250
Fe: 0.6829 0.7500 0.1250
Fe: 0.7500 0.1829 0.3750
Fe: 0.7500 0.3171 0.8750
Fe: 0.8171 0.7500 0.6250
Rh: 0.0000 0.0000 0.5000
Rh: 0.0000 0.5000 0.7500
Rh: 0.5000 0.0000 0.2500
Rh: 0.5000 0.5000 0.0000

Properties
- Polymorph energy (0 for the lowest one): 12.04 kcal/mol of atoms
- Formation energy: 4.192 eV per formula unit
- V: 332 Å³/cell

=====

VASP calculation (GGA-PBE) on a relaxed structure of CsTlICl.

Lattice parameters (Å, degrees): 4.8846 4.8846 26.1514 90.00 90.00 120.00
Atoms (fractional coordinates):
Cs: 0.0000 0.0000 0.0000
Cs: 0.3333 0.6667 0.6667
Cs: 0.6667 0.3333 0.3333
Tl: 0.0000 0.0000 0.8475
Tl: 0.3333 0.6667 0.5142
Tl: 0.6667 0.3333 0.1809
I: 0.0000 0.0000 0.4353
I: 0.3333 0.6667 0.1020
I: 0.6667 0.3333 0.7686
Cl: 0.0000 0.0000 0.2560
Cl: 0.3333 0.6667 0.9227
Cl: 0.6667 0.3333 0.5893

Properties
- Polymorph energy (0 for the lowest one): 0.00 kcal/mol of atoms
- V: 540 Å³/cell

=====

VASP calculation (GGA-PBE) on a relaxed structure of Ta2BeRu.

Lattice parameters (Å, degrees): 2.9553 2.9553 6.8512 90.00 90.00 90.00
Atoms (fractional coordinates):
Ta: 0.0000 0.0000 0.2437
Ta: 0.0000 0.0000 0.7563
Be: 0.5000 0.5000 0.0000
Ru: 0.5000 0.5000 0.5000

Properties
- Formation energy: -0.259 eV per formula unit
- V: 60 Å³/cell

=====

VASP calculation (GGA-PBE) on a relaxed structure of LiLaSmHo.

Lattice parameters (Å, degrees): 7.9207 7.9207 7.9207 90.00 90.00 90.00
Atoms (fractional coordinates):
Li: 0.0000 0.0000 0.0000
Li: 0.0000 0.5000 0.5000
Li: 0.5000 0.0000 0.5000
Li: 0.5000 0.5000 0.0000
La: 0.2500 0.2500 0.2500
La: 0.2500 0.7500 0.7500
La: 0.7500 0.2500 0.7500
La: 0.7500 0.7500 0.2500
Sm: 0.2500 0.2500 0.7500
Sm: 0.2500 0.7500 0.2500
Sm: 0.7500 0.2500 0.2500
Sm: 0.7500 0.7500 0.7500
Ho: 0.0000 0.0000 0.5000
Ho: 0.0000 0.5000 0.0000
Ho: 0.5000 0.0000 0.0000
Ho: 0.5000 0.5000 0.5000

Properties
- Formation energy: 0.621 eV per formula unit
- V: 497 Å³/cell

=====

VASP calculation (GGA-PBE) on a relaxed structure of LaPmDy4Er2.

Lattice parameters (Å, degrees): 6.7627 7.2900 11.1752 80.57 85.24 74.38
Atoms (fractional coordinates):
La: 0.0000 0.0000 0.0000
La: 0.0016 0.4989 0.0007
Pm: 0.0441 0.8747 0.4568
Pm: 0.5393 0.8775 0.9520
Dy: 0.2513 0.2526 0.7422
Dy: 0.2530 0.7506 0.7430
Dy: 0.3003 0.1231 0.2094
Dy: 0.3020 0.6203 0.2095
Dy: 0.7493 0.2513 0.2518
Dy: 0.7514 0.7487 0.2527
Dy: 0.7894 0.1276 0.7021
Dy: 0.7913 0.6257 0.7024
Er: 0.0448 0.3744 0.4562
Er: 0.5001 0.0021 0.4973
Er: 0.5029 0.4994 0.4978
Er: 0.5398 0.3764 0.9522

Properties
- Formation energy: 0.160 eV per formula unit
- V: 523 Å³/cell

=====

VASP calculation (GGA-PBE) on a relaxed structure of BeZnRh2.

Lattice parameters (Å, degrees): 2.8122 2.8122 22.3363 90.00 90.00 120.00
Atoms (fractional coordinates):
Be: 0.0000 0.0000 0.0000
Be: 0.3333 0.6667 0.6667
Be: 0.6667 0.3333 0.3333
Zn: 0.0000 0.0000 0.1664
Zn: 0.3333 0.6667 0.8331
Zn: 0.6667 0.3333 0.4998
Rh: 0.0000 0.0000 0.4067
Rh: 0.0000 0.0000 0.5929
Rh: 0.3333 0.6667 0.0733
Rh: 0.3333 0.6667 0.2596
Rh: 0.6667 0.3333 0.7400
Rh: 0.6667 0.3333 0.9263

Properties
- Polymorph energy (0 for the lowest one): 2.67 kcal/mol of atoms
- Formation energy: -1.390 eV per formula unit
- V: 153 Å³/cell

=====

VASP calculation (GGA-PBE) on a relaxed structure of SmY6Ho3Er2.

Lattice parameters (Å, degrees): 6.1508 6.1508 11.7812 94.97 94.97 119.94
Atoms (fractional coordinates):
Sm: 0.0000 0.0000 0.0000
Y: 0.0840 0.4178 0.2507
Y: 0.2500 0.2500 0.7495
Y: 0.4178 0.0840 0.2507
Y: 0.5822 0.9160 0.7493
Y: 0.7500 0.7500 0.2505
Y: 0.9160 0.5822 0.7493
Ho: 0.1669 0.8331 0.5000
Ho: 0.5000 0.5000 0.5000
Ho: 0.8331 0.1669 0.5000
Er: 0.3333 0.6667 0.0000
Er: 0.6667 0.3333 0.0000

Properties
- Formation energy: 0.271 eV per formula unit
- V: 380 Å³/cell

=====

VASP calculation (GGA-PBE) on a relaxed structure of NaCeCl6.

Lattice parameters (Å, degrees): 6.7628 11.9752 7.1205 90.00 110.23 90.00
Atoms (fractional coordinates):
Na: 0.0000 0.0000 0.0000
Na: 0.5000 0.5000 0.0000
Ce: 0.0000 0.5000 0.5000
Ce: 0.5000 0.0000 0.5000
Cl: 0.1714 0.0000 0.6546
Cl: 0.1945 0.3515 0.7627
Cl: 0.1945 0.6484 0.7627
Cl: 0.3055 0.1484 0.2373
Cl: 0.3055 0.8516 0.2373
Cl: 0.3286 0.5000 0.3454
Cl: 0.6714 0.5000 0.6546
Cl: 0.6945 0.1484 0.7627
Cl: 0.6945 0.8516 0.7627
Cl: 0.8055 0.3515 0.2373
Cl: 0.8055 0.6484 0.2373
Cl: 0.8286 0.0000 0.3454

Properties
- Polymorph energy (0 for the lowest one): 0.00 kcal/mol of atoms
- V: 541 Å³/cell